Here is a relaxed Ba2SmPbO6 crystal from the Alexandria database. Energies are from PBE.

Geometry as POSCAR:
```
Ba2SmPbO6
1.0
6.271 0.000 -0.036
0.000 6.244 0.000
0.003 0.000 8.831
O Pb Sm Ba
12 2 2 4
direct
0.427 0.984 0.744
0.765 0.777 0.539
0.265 0.723 0.039
0.735 0.277 0.961
0.221 0.234 0.040
0.235 0.223 0.461
0.721 0.266 0.540
0.779 0.766 0.960
0.073 0.484 0.756
0.927 0.516 0.244
0.279 0.734 0.460
0.573 0.016 0.256
0.000 0.500 0.000
0.500 0.000 0.500
0.500 0.000 0.000
0.000 0.500 0.500
0.008 0.979 0.249
0.492 0.479 0.251
0.992 0.021 0.751
0.508 0.521 0.749
```

Calculated values
* theoretical density: 6.99 g/cm³
* formation energy (no corrections): -2.184 eV per atom
* calculated total energy: -6.387 eV per atom
* symmetry: No. 14
* D(E_F): 20.3 states/eV/cell



Here is a relaxed Ba3SmPb2O6 crystal from the Alexandria database. Energies are from PBE.

Geometry as POSCAR:
```
Ba3SmPb2O6
1.0
-0.615 4.157 -4.719
4.237 -4.667 -0.434
-4.969 -4.225 -3.075
Pb Ba O Sm
2 3 6 1
direct
0.667 0.333 0.876
0.333 0.667 0.124
0.333 0.667 0.614
0.667 0.333 0.386
0.000 0.000 0.000
0.342 0.171 0.687
0.829 0.658 0.687
0.171 0.342 0.313
0.829 0.171 0.687
0.171 0.829 0.313
0.658 0.829 0.313
0.000 0.000 0.500
```

Calculated values
* theoretical density: 7.14 g/cm³
* formation energy (no corrections): -2.176 eV per atom
* calculated total energy: -6.147 eV per atom
* symmetry: No. 164
* D(E_F): 4.5 states/eV/cell



Number 1 is which compound? Ba2SmPbO6